# KLiAl2 | Alexandria via LeMat-Bulk | SCAN | PBEsol geometry
# Calculated formation energy in eV per formula unit: 1.6
# N(E_F) in states/eV per cell: 2.38
# Polymorph energy (0 for the lowest one) in eV per formula unit: 0.92
# Raw total energy in eV per atom: -6.148
data_KLiAl2
_cell_length_a 4.285
_cell_length_b 4.285
_cell_length_c 6.006
_cell_angle_alpha 110.90
_cell_angle_beta 110.90
_cell_angle_gamma 90.00
_symmetry_space_group_name_H-M 'P 1'
_symmetry_Int_Tables_number 1
loop_
_symmetry_equiv_pos_as_xyz
'x,y,z'
loop_
_atom_site_label
_atom_site_type_symbol
_atom_site_fract_x
_atom_site_fract_y
_atom_site_fract_z
K1 K 0.500 0.500 0.000
Al1 Al 0.750 0.250 0.500
Al2 Al 0.250 0.750 0.500
Li1 Li 0.000 0.000 0.000